Below is a relaxed structure of CoTcHPd2, with properties calculated at the PBE level.

```
CoTcHPd2
1.0
3.847 0.000 0.000
0.000 3.847 0.000
0.000 0.000 4.032
Co Tc H Pd
1 1 1 2
Direct
0.000 0.000 0.000
0.500 0.500 0.000
0.500 0.500 0.500
0.000 0.500 0.500
0.500 0.000 0.500
```

Summary:
Size of the total moment, μB per formula unit: 2.9
Calculated volume, A^3/atom: 11.9
Crystal system: tetragonal
Total energy, Ha/atom: -0.2206